A relaxed structure of CaReAgSn2, computed with PBE-GGA.

Lattice parameters (Å, degrees): 5.6361 5.6361 5.0122 90.00 90.00 90.00
Element x y z (fractional)
Ca 0.0000 0.0000 0.0000
Re 0.0000 0.0000 0.5000
Ag 0.5000 0.5000 0.5000
Sn 0.0000 0.5000 0.0000
Sn 0.5000 0.0000 0.0000

Raw total energy, eV/cell: -16.6
DOS(E_F), states/eV/f.u.: 3.6
Total moment, Bohr magnetons per cell: 2.5
Symmetry: No. 123
E_form, eV/atom: 1.742